No. 1
Compound: Sm2Al2O5
Source: OQMD
Functional: GGA-PBE
Structure: optimized geometry

Summary:
energy above the most stable polymorph in this dataset	0.823	eV/atom
space-group type	No. 123
crystal system	tetragonal
spin magnetization	0.00	Bohr magnetons per cell

```
9
Lattice="-0.651 -1.147 -9.207 0.729 -3.696 0.409 -3.709 -0.693 0.348" Properties=species:S:1:pos:R:3 pbc="T T T"
Al 0.000 0.000 0.000
Al -0.325 -0.574 -4.603
O 0.282 -1.994 -0.970
O -0.203 -2.849 -7.828
O -1.937 -0.493 -1.000
O -2.422 -1.348 -7.859
O -1.815 -2.768 -4.225
Sm -1.649 -2.475 -1.871
Sm -1.981 -3.061 -6.578
```

No. 2
Compound: Ta3TlCN
Source: OQMD
Functional: GGA-PBE
Structure: optimized geometry

Summary:
space-group type	No. 164
crystal system	trigonal
spin magnetization	0.02	Bohr magnetons per cell
VASP energy	-0.3546	Ha/atom

```
12
Lattice="3.145 0.000 0.000 -1.573 2.724 0.000 0.000 0.000 19.886" Properties=species:S:1:pos:R:3 pbc="T T T"
C 0.000 1.816 1.312
C 1.573 0.908 18.574
N 0.000 1.816 8.713
N 1.573 0.908 11.173
Ta 0.000 0.000 0.000
Ta 1.573 0.908 2.538
Ta 1.573 0.908 7.470
Ta 0.000 0.000 9.943
Ta 0.000 1.816 12.416
Ta 0.000 1.816 17.348
Tl 0.000 0.000 5.007
Tl 0.000 0.000 14.879
```

No. 3
Compound: LuZnPO
Source: OQMD
Functional: GGA-PBE
Structure: optimized geometry

Summary:
space-group type	No. 26
crystal system	orthorhombic
spin magnetization	0.00	Bohr magnetons per cell
VASP energy	-0.2055	Ha/atom

```
8
Lattice="-3.609 0.983 0.143 -0.317 -1.954 5.445 1.651 5.747 2.159" Properties=species:S:1:pos:R:3 pbc="T T T"
Lu -1.795 0.131 2.797
Lu -0.993 2.860 4.280
O -1.271 2.134 2.247
O -0.602 4.039 6.025
P 0.304 0.435 4.673
P 1.275 4.206 3.250
Zn 0.733 2.460 1.574
Zn 1.308 3.790 6.953
```

No. 4
Compound: HfIrPt
Source: OQMD
Functional: GGA-PBE
Structure: optimized geometry

Summary:
energy of formation	-0.3816	eV per atom
energy above the most stable polymorph in this dataset	0.123	eV/atom
space-group type	No. 216
crystal system	cubic
spin magnetization	0.03	Bohr magnetons per cell

```
3
Lattice="1.789 2.065 3.435 -2.196 3.227 2.008 -1.626 -0.628 4.028" Properties=species:S:1:pos:R:3 pbc="T T T"
Hf -0.508 1.166 2.368
Ir 0.000 0.000 0.000
Pt -1.525 3.498 7.103
```

No. 5
Compound: LuHfAsO
Source: OQMD
Functional: GGA-PBE
Structure: optimized geometry

Summary:
energy above the most stable polymorph in this dataset	0.000	eV/atom
space-group type	No. 129
crystal system	tetragonal
spin magnetization	0.02	Bohr magnetons per cell

```
8
Lattice="-1.758 -3.228 -1.822 1.552 -2.472 2.883 -6.981 1.132 4.730" Properties=species:S:1:pos:R:3 pbc="T T T"
As -2.227 -3.939 2.199
As -4.960 -0.629 3.591
Hf -4.421 -2.473 1.719
Hf -2.766 -2.095 4.071
Lu -0.817 -1.301 0.784
Lu -6.370 -3.268 5.006
O -0.930 -3.039 -0.646
O 0.725 -2.661 1.706
```

No. 6
Compound: GdBe
Source: OQMD
Functional: GGA-PBE
Structure: optimized geometry

Summary:
energy above the most stable polymorph in this dataset	0.888	eV/atom
space-group type	No. 194
crystal system	hexagonal
spin magnetization	0.92	Bohr magnetons per cell

```
4
Lattice="2.187 3.423 2.570 -4.160 0.945 -2.214 -2.841 -1.660 4.629" Properties=species:S:1:pos:R:3 pbc="T T T"
Be -3.288 1.045 1.407
Be -2.664 -1.557 4.340
Gd -1.242 -0.726 2.024
Gd -4.707 0.215 3.719
```

No. 7
Compound: ZnSnAs2
Source: OQMD
Functional: GGA-PBE
Structure: optimized geometry

Summary:
space-group type	No. 216
crystal system	cubic
VASP energy	-0.1235	Ha/atom

```
4
Lattice="2.862 0.555 3.940 -1.800 -0.858 4.477 1.483 -3.930 2.525" Properties=species:S:1:pos:R:3 pbc="T T T"
As 0.000 0.000 0.000
As 1.909 -3.175 8.206
Sn 1.272 -2.116 5.471
Zn 0.636 -1.058 2.735
```

No. 8
Compound: Cd2I4F
Source: OQMD
Functional: GGA-PBE
Structure: optimized geometry

Summary:
space-group type	No. 65
crystal system	orthorhombic
VASP energy	-0.0635	Ha/atom

```
7
Lattice="4.346 -5.759 0.000 4.346 5.759 0.000 0.000 0.000 4.261" Properties=species:S:1:pos:R:3 pbc="T T T"
Cd 2.173 -2.880 2.130
Cd 2.173 2.880 2.130
F 4.346 0.000 0.000
I 4.346 -3.462 0.000
I 4.346 3.462 0.000
I 2.515 0.000 2.130
I 6.177 0.000 2.130
```